This record from Alexandria describes crystalline BePdPt2 at its relaxed geometry. The functional is GGA-PBE.

Excess energy over the best structure of this formula in the dataset in eV/atom: 0.259
D(E_F) in states/eV per atom: 0.822
Space-group type: R3m, No. 160

a = 4.8269 Å, b = 4.8269 Å, c = 4.8269 Å
α = 49.45°, β = 49.45°, γ = 49.45°
Closest atoms and distances in Å follow each position.
Fractional coordinates of all 4 atoms:
Be: 0.0000 0.0000 0.0000  1 Pd 2.36, 6 Pt 2.38-2.53
Pd: 0.8141 0.8141 0.8141  1 Be 2.36
Pt: 0.3706 0.3706 0.3706  3 Be 2.38
Pt: 0.5889 0.5889 0.5889  3 Be 2.53, 3 Pd 2.70, 4 Pt 2.75-2.77